A plane-wave DFT calculation with PBE was carried out for a geometry-optimized LiScTl2 structure.

```
LiScTl2
1.0
0.000 3.546 3.546
3.546 0.000 3.546
3.546 3.546 0.000
Sc Tl Li
1 2 1
direct
0.500 0.500 0.500
0.250 0.250 0.250
0.750 0.750 0.750
0.000 0.000 0.000
```

Summary:
ΔH_f (0 K) = -24.35 kJ per mole of atoms
size of the total moment = 0.00 μB per atom
distance to the lowest polymorph of the same formula = 25.6 meV/atom
raw total energy = -0.1285 Ha/atom
SG = Fm-3m

=====

A plane-wave DFT calculation with PBE was carried out for a geometry-optimized LiScTl2 structure.

```
LiScTl2
1.0
5.852 0.001 0.136
4.834 3.299 0.136
1.285 0.397 4.921
Li Sc Tl
1 1 2
direct
0.508 0.508 0.431
0.742 0.742 0.820
0.996 0.996 0.928
0.254 0.254 0.321
```

Summary:
ΔH_f (0 K) = -15.09 kJ per mole of atoms
size of the total moment = 0.00 μB per atom
distance to the lowest polymorph of the same formula = 121.6 meV/atom
raw total energy = -0.1250 Ha/atom
SG = Cm

=====

A plane-wave DFT calculation with PBE was carried out for a geometry-optimized LiScTl2 structure.

```
LiScTl2
1.0
3.500 0.000 0.000
0.000 3.463 0.001
0.000 3.466 7.252
Sc Tl Li
1 2 1
direct
0.500 0.750 0.750
0.000 0.979 0.020
0.000 0.521 0.480
0.500 0.250 0.250
```

Summary:
ΔH_f (0 K) = -23.51 kJ per mole of atoms
size of the total moment = 0.06 μB per atom
distance to the lowest polymorph of the same formula = 34.3 meV/atom
raw total energy = -0.1282 Ha/atom
SG = Pmmm

=====

A plane-wave DFT calculation with PBE was carried out for a geometry-optimized Li2ScTl structure.

```
Li2ScTl
1.0
4.173 0.000 0.000
0.000 4.173 0.000
2.087 2.087 10.454
Sc Tl Li
2 2 4
direct
0.500 0.500 0.000
0.250 0.750 0.500
0.000 0.000 0.000
0.750 0.250 0.500
0.665 0.125 0.250
0.085 0.625 0.250
0.375 0.335 0.750
0.875 0.915 0.750
```

Summary:
ΔH_f (0 K) = 4.31 kJ per mole of atoms
size of the total moment = 0.00 μB per atom
raw total energy = -0.1134 Ha/atom
SG = I-42d